Here is an optimized crystal structure of LiMnF3 from Alexandria via LeMat-Bulk. Energies are from PBE with a Hubbard U.

Geometry as POSCAR:
```
LiMnF3
1.0
-5.901 -1.379 -2.075
3.983 -0.501 -4.991
0.484 -3.123 0.699
F Mn Li
6 2 2
Direct
0.451 0.192 0.000
0.551 0.806 0.000
0.139 0.861 0.500
0.808 0.549 0.000
0.864 0.136 0.500
0.194 0.449 0.000
0.501 0.999 0.500
0.001 0.499 0.500
0.501 0.499 0.000
0.002 0.998 0.000
```

## Properties
SG   Amm2, No. 38
Spin magnetization   5.0 μB/f.u.
Theoretical density   3.1 Mg/m³
Energy above the most stable polymorph in this dataset   51 meV/atom